(1)
A geometry-optimized Mn2VPt9 structure, computed with GGA-PBE.

Cell and atoms, written as CIF:
```
data_Mn2VPt9
_chemical_formula_sum 'Mn2 V1 Pt9'
_space_group_name_H-M_alt 'P 4/m m m'
_space_group_IT_number 123
_space_group_name_Hall '-P 4 2'
_cell_length_a 3.927
_cell_length_b 3.927
_cell_length_c 11.780
_cell_angle_alpha 90.00
_cell_angle_beta 90.00
_cell_angle_gamma 90.00
loop_
_atom_site_label
_atom_site_fract_x
_atom_site_fract_y
_atom_site_fract_z
Mn1 0.000 0.000 0.165
V1 0.000 0.000 0.500
Pt1 0.000 0.500 0.000
Pt2 0.000 0.500 0.337
Pt3 0.500 0.500 0.168
Pt4 0.500 0.500 0.500
```

Calculated values
The formation energy from the elements is -407.9 meV/atom. Its density is 17.52 g/cm3. As for the density of states at the Fermi level: 14.0 states/eV/cell. The crystal system is tetragonal. The total energy is -86.720 eV/f.u.

(2)
A geometry-optimized Mn2VPt2 structure, computed with GGA-PBE.

Cell and atoms, written as CIF:
```
data_Mn2VPt2
_chemical_formula_sum 'Mn4 V2 Pt4'
_space_group_name_H-M_alt 'P 4/m b m'
_space_group_IT_number 127
_space_group_name_Hall '-P 4 2ab'
_cell_length_a 6.081
_cell_length_b 6.081
_cell_length_c 3.780
_cell_angle_alpha 90.00
_cell_angle_beta 90.00
_cell_angle_gamma 90.00
loop_
_atom_site_label
_atom_site_fract_x
_atom_site_fract_y
_atom_site_fract_z
Mn1 0.132 0.368 0.000
V1 0.000 0.000 0.000
Pt1 0.167 0.667 0.500
```

Calculated values
The formation energy from the elements is -33.1 meV/atom. Its density is 13.09 g/cm3. As for the density of states at the Fermi level: 9.7 states/eV/cell. The crystal system is tetragonal. The total energy is -39.705 eV/f.u.

(3)
A geometry-optimized MnVPtW structure, computed with GGA-PBE.

Cell and atoms, written as CIF:
```
data_MnVPtW
_chemical_formula_sum 'Mn4 V4 Pt4 W4'
_space_group_name_H-M_alt 'F -4 3 m'
_space_group_IT_number 216
_space_group_name_Hall 'F -4 2 3'
_cell_length_a 6.127
_cell_length_b 6.127
_cell_length_c 6.127
_cell_angle_alpha 90.00
_cell_angle_beta 90.00
_cell_angle_gamma 90.00
loop_
_atom_site_label
_atom_site_fract_x
_atom_site_fract_y
_atom_site_fract_z
Mn1 0.000 0.000 0.000
V1 0.000 0.000 0.500
Pt1 0.250 0.250 0.250
W1 0.250 0.250 0.750
```

Calculated values
The formation energy from the elements is -123.6 meV/atom. Its density is 14.00 g/cm3. As for the density of states at the Fermi level: 11.4 states/eV/cell. The crystal system is cubic. The total energy is -37.776 eV/f.u.

(4)
A geometry-optimized MnVZnPt2 structure, computed with GGA-PBE.

Cell and atoms, written as CIF:
```
data_MnVZnPt2
_chemical_formula_sum 'Mn1 V1 Zn1 Pt2'
_space_group_name_H-M_alt 'P 4/m m m'
_space_group_IT_number 123
_space_group_name_Hall '-P 4 2'
_cell_length_a 4.671
_cell_length_b 4.671
_cell_length_c 4.466
_cell_angle_alpha 90.00
_cell_angle_beta 90.00
_cell_angle_gamma 90.00
loop_
_atom_site_label
_atom_site_fract_x
_atom_site_fract_y
_atom_site_fract_z
Mn1 0.000 0.000 0.000
V1 0.500 0.500 0.500
Zn1 0.000 0.000 0.500
Pt1 0.000 0.500 0.000
```

Calculated values
The formation energy from the elements is 837.2 meV/atom. Its density is 9.57 g/cm3. As for the density of states at the Fermi level: 7.3 states/eV/cell. The crystal system is tetragonal. The total energy is -27.458 eV/f.u.

(5)
A geometry-optimized Mn2PtW structure, computed with GGA-PBE.

Cell and atoms, written as CIF:
```
data_Mn2PtW
_chemical_formula_sum 'Mn8 Pt4 W4'
_space_group_name_H-M_alt 'F -4 3 m'
_space_group_IT_number 216
_space_group_name_Hall 'F -4 2 3'
_cell_length_a 6.115
_cell_length_b 6.115
_cell_length_c 6.115
_cell_angle_alpha 90.00
_cell_angle_beta 90.00
_cell_angle_gamma 90.00
loop_
_atom_site_label
_atom_site_fract_x
_atom_site_fract_y
_atom_site_fract_z
Mn1 0.000 0.000 0.000
Mn2 0.250 0.250 0.250
Pt1 0.000 0.000 0.500
W1 0.250 0.250 0.750
```

Calculated values
Its relative energy among the computed polymorphs is 197 meV/atom. The formation energy from the elements is 94.8 meV/atom. Its density is 14.20 g/cm3. As for the density of states at the Fermi level: 17.0 states/eV/cell. The crystal system is cubic. The total energy is -36.954 eV/f.u.

(6)
A geometry-optimized MnPt4W structure, computed with GGA-PBE.

Cell and atoms, written as CIF:
```
data_MnPt4W
_chemical_formula_sum 'Mn1 Pt4 W1'
_space_group_name_H-M_alt 'P 4/m m m'
_space_group_IT_number 123
_space_group_name_Hall '-P 4 2'
_cell_length_a 2.801
_cell_length_b 2.801
_cell_length_c 11.781
_cell_angle_alpha 90.00
_cell_angle_beta 90.00
_cell_angle_gamma 90.00
loop_
_atom_site_label
_atom_site_fract_x
_atom_site_fract_y
_atom_site_fract_z
Mn1 0.000 0.000 0.000
Pt1 0.000 0.000 0.337
Pt2 0.500 0.500 0.156
W1 0.500 0.500 0.500
```

Calculated values
Its relative energy among the computed polymorphs is 0 meV/atom. The formation energy from the elements is -304.1 meV/atom. Its density is 18.31 g/cm3. As for the density of states at the Fermi level: 5.2 states/eV/cell. The crystal system is tetragonal. The total energy is -48.111 eV/f.u.

(7)
A geometry-optimized MnPtW2 structure, computed with GGA-PBE.

Cell and atoms, written as CIF:
```
data_MnPtW2
_chemical_formula_sum 'Mn4 Pt4 W8'
_space_group_name_H-M_alt 'I -4 2 d'
_space_group_IT_number 122
_space_group_name_Hall 'I -4 2bw'
_cell_length_a 3.722
_cell_length_b 3.722
_cell_length_c 19.230
_cell_angle_alpha 90.00
_cell_angle_beta 90.00
_cell_angle_gamma 90.00
loop_
_atom_site_label
_atom_site_fract_x
_atom_site_fract_y
_atom_site_fract_z
Mn1 0.000 0.000 0.000
Pt1 0.000 0.000 0.500
W1 0.238 0.250 0.125
```

Calculated values
Its relative energy among the computed polymorphs is 607 meV/atom. The formation energy from the elements is 544.0 meV/atom. Its density is 15.40 g/cm3. As for the density of states at the Fermi level: 13.1 states/eV/cell. The crystal system is tetragonal. The total energy is -38.941 eV/f.u.

(8)
A geometry-optimized MnPt3W structure, computed with GGA-PBE.

Cell and atoms, written as CIF:
```
data_MnPt3W
_chemical_formula_sum 'Mn1 Pt3 W1'
_space_group_name_H-M_alt 'P m -3 m'
_space_group_IT_number 221
_space_group_name_Hall '-P 4 2 3'
_cell_length_a 4.844
_cell_length_b 4.844
_cell_length_c 4.844
_cell_angle_alpha 90.00
_cell_angle_beta 90.00
_cell_angle_gamma 90.00
loop_
_atom_site_label
_atom_site_fract_x
_atom_site_fract_y
_atom_site_fract_z
Mn1 0.000 0.000 0.000
Pt1 0.000 0.500 0.500
W1 0.500 0.500 0.500
```

Calculated values
Its relative energy among the computed polymorphs is 948 meV/atom. The formation energy from the elements is 1098.0 meV/atom. Its density is 12.04 g/cm3. As for the density of states at the Fermi level: 4.2 states/eV/cell. The crystal system is cubic. The total energy is -34.755 eV/f.u.

Please write out number 1 again, unchanged.
A geometry-optimized Mn2VPt9 structure, computed with GGA-PBE.

Cell and atoms, written as CIF:
```
data_Mn2VPt9
_chemical_formula_sum 'Mn2 V1 Pt9'
_space_group_name_H-M_alt 'P 4/m m m'
_space_group_IT_number 123
_space_group_name_Hall '-P 4 2'
_cell_length_a 3.927
_cell_length_b 3.927
_cell_length_c 11.780
_cell_angle_alpha 90.00
_cell_angle_beta 90.00
_cell_angle_gamma 90.00
loop_
_atom_site_label
_atom_site_fract_x
_atom_site_fract_y
_atom_site_fract_z
Mn1 0.000 0.000 0.165
V1 0.000 0.000 0.500
Pt1 0.000 0.500 0.000
Pt2 0.000 0.500 0.337
Pt3 0.500 0.500 0.168
Pt4 0.500 0.500 0.500
```

Calculated values
The formation energy from the elements is -407.9 meV/atom. Its density is 17.52 g/cm3. As for the density of states at the Fermi level: 14.0 states/eV/cell. The crystal system is tetragonal. The total energy is -86.720 eV/f.u.

- What is the formation energy from the elements in the first record?
  -407.9 meV/atom